Tb6PrSmTm2: optimized geometry, PBE.

M_tot: 0.00 μB/f.u.
Total DFT energy (no corrections): -0.331 Ry per atom
Space-group type: C2/c, No. 15
E_form: 122 meV/atom

Cell and atoms, written as POSCAR:
```
Tb6PrSmTm2
1.0
4.599 -7.485 0.000
4.599 7.485 0.000
-1.165 0.000 9.489
Tb Pr Sm Tm
12 2 2 4
direct
0.020 0.565 0.180 Tb
0.114 0.756 0.557 Tb
0.244 0.886 0.943 Tb
0.295 0.513 0.382 Tb
0.435 0.980 0.320 Tb
0.487 0.705 0.118 Tb
0.513 0.295 0.882 Tb
0.565 0.020 0.680 Tb
0.705 0.487 0.618 Tb
0.756 0.114 0.057 Tb
0.886 0.244 0.443 Tb
0.980 0.435 0.820 Tb
0.407 0.593 0.750 Pr
0.593 0.407 0.250 Pr
0.031 0.969 0.250 Sm
0.969 0.031 0.750 Sm
0.197 0.297 0.048 Tm
0.297 0.197 0.548 Tm
0.703 0.803 0.452 Tm
0.803 0.703 0.952 Tm
```